Entry 1:
{"formula": "TbSiMo", "functional": "GGA-PBE", "state": "relaxed", "cell": [[-3.5575, 3.4593, 2.9129], [-3.9141, -0.8983, -4.1208], [-4.6180, -4.9917, 3.3266]], "species": ["Tb", "Tb", "Tb", "Tb", "Si", "Si", "Si", "Si", "Mo", "Mo", "Mo", "Mo"], "fractional_positions": [[0.4901, 0.8194, 0.0537], [0.8194, 0.4901, 0.5537], [0.2244, 0.3020, 0.2055], [0.3020, 0.2244, 0.7055], [0.4289, 0.7340, 0.6993], [0.9747, 0.8276, 0.1827], [0.7340, 0.4289, 0.1993], [0.8276, 0.9747, 0.6827], [0.0143, 0.6523, 0.8849], [0.8549, 0.1906, 0.9560], [0.6523, 0.0143, 0.3849], [0.1906, 0.8549, 0.4560]], "space_group": "Cc (9)", "raw_formation_energy_mev_per_atom": -220.0, "magmom_total_mub_per_fu": 0.00}

Entry 2:
{"formula": "TbSiMo", "functional": "GGA-PBE", "state": "relaxed", "cell": [[-3.1005, 1.3334, -1.2791], [-2.0812, -7.4214, -2.6918], [-3.6245, -1.5747, 7.1441]], "species": ["Tb", "Tb", "Tb", "Tb", "Mo", "Mo", "Mo", "Mo", "Si", "Si", "Si", "Si"], "fractional_positions": [[0.0000, 0.4103, 0.7673], [0.5000, 0.7673, 0.5897], [0.5000, 0.2327, 0.4103], [0.0000, 0.5897, 0.2327], [0.0000, 0.8501, 0.8896], [0.0000, 0.1499, 0.1104], [0.5000, 0.8896, 0.1499], [0.5000, 0.1104, 0.8501], [0.5000, 0.6406, 0.9468], [0.0000, 0.9468, 0.3594], [0.0000, 0.0532, 0.6406], [0.5000, 0.3594, 0.0532]], "space_group": "P4_2/m (84)", "raw_formation_energy_mev_per_atom": -424.0, "magmom_total_mub_per_fu": 0.00}

Entry 3:
{"formula": "TbSi2Mo4", "functional": "GGA-PBE", "state": "relaxed", "cell": [[4.3681, 0.0000, 0.0000], [0.0000, 4.3128, -0.9503], [0.0000, -0.7511, 6.8530]], "species": ["Si", "Si", "Mo", "Mo", "Mo", "Mo", "Tb"], "fractional_positions": [[0.5000, 0.4058, 0.8115], [0.5000, 0.5942, 0.1885], [0.5000, 0.8080, 0.6159], [0.0000, 0.3043, 0.6085], [0.0000, 0.6957, 0.3915], [0.5000, 0.1920, 0.3841], [0.0000, 0.0000, 0.0000]], "space_group": "Cmmm (65)", "raw_formation_energy_mev_per_atom": -192.8, "magmom_total_mub_per_fu": 0.00}

Entry 4:
{"formula": "Si4TcMo", "functional": "GGA-PBE", "state": "relaxed", "cell": [[-1.9399, -1.0162, 2.3362], [-1.7625, -0.9398, -4.0668], [4.2945, -4.4113, 1.6472]], "species": ["Tc", "Si", "Si", "Si", "Si", "Mo"], "fractional_positions": [[0.5000, 0.5000, 0.5000], [0.1663, 0.8327, 0.3341], [0.8337, 0.1673, 0.6659], [0.8332, 0.1665, 0.1671], [0.1668, 0.8335, 0.8329], [0.5000, 0.5000, 0.0000]], "space_group": "C2/m (12)", "de_polymorph_mev_per_atom": 0, "raw_formation_energy_mev_per_atom": -463.9, "magmom_total_mub_per_fu": 0.00}

Entry 5:
{"formula": "SiTcMo2", "functional": "GGA-PBE", "state": "relaxed", "cell": [[8.8521, 0.0026, 0.0015], [8.4036, 2.7820, 0.0015], [8.4036, 1.3561, 2.4291]], "species": ["Mo", "Mo", "Si", "Tc"], "fractional_positions": [[0.5016, 0.5016, 0.5016], [0.9984, 0.9984, 0.9984], [0.2500, 0.2500, 0.2500], [0.7500, 0.7500, 0.7500]], "space_group": "R-3m (166)", "raw_formation_energy_mev_per_atom": 56.0, "magmom_total_mub_per_fu": 0.00}

Entry 6:
{"formula": "SiTc2Mo2", "functional": "GGA-PBE", "state": "relaxed", "cell": [[-0.0265, 2.2115, -3.1587], [-3.5783, -1.1911, -0.8039], [-3.9894, 4.9637, 1.1550]], "species": ["Tc", "Tc", "Mo", "Mo", "Si"], "fractional_positions": [[0.2500, 0.7500, 0.5000], [0.7500, 0.2500, 0.5000], [0.6090, 0.6090, 0.7820], [0.3910, 0.3910, 0.2180], [0.0000, 0.0000, 0.0000]], "space_group": "I4/mmm (139)", "de_polymorph_mev_per_atom": 248, "raw_formation_energy_mev_per_atom": 665.9, "magmom_total_mub_per_fu": 0.00}

Entry 7:
{"formula": "SiTcMo2", "functional": "GGA-PBE", "state": "relaxed", "cell": [[4.0875, 0.0000, 0.0000], [0.0000, 2.8429, 0.0212], [0.0000, 2.6823, 5.1027]], "species": ["Mo", "Mo", "Si", "Tc"], "fractional_positions": [[0.0000, 0.0072, 0.0072], [0.0000, 0.4928, 0.4928], [0.5000, 0.2500, 0.2500], [0.5000, 0.7500, 0.7500]], "space_group": "P2/m (10)", "raw_formation_energy_mev_per_atom": -134.5, "magmom_total_mub_per_fu": 0.00}

Entry 8:
{"formula": "Si3TcMo", "functional": "GGA-PBE", "state": "relaxed", "cell": [[-1.8852, -2.0816, -3.6689], [3.6665, -2.7958, -0.2977], [-2.0860, -3.0329, 2.7926]], "species": ["Si", "Si", "Si", "Tc", "Mo"], "fractional_positions": [[0.0000, 0.0000, 0.5000], [0.0000, 0.5000, 0.0000], [0.5000, 0.0000, 0.0000], [0.0000, 0.0000, 0.0000], [0.5000, 0.5000, 0.5000]], "space_group": "Pm-3m (221)", "de_polymorph_mev_per_atom": 0, "raw_formation_energy_mev_per_atom": 995.1, "magmom_total_mub_per_fu": 4.68}

Entry 9:
{"formula": "SiTc3Mo", "functional": "GGA-PBE", "state": "relaxed", "cell": [[4.3418, 0.0000, 0.0000], [0.0000, 4.3418, 0.0000], [0.0000, 0.0000, 4.3418]], "species": ["Si", "Tc", "Tc", "Tc", "Mo"], "fractional_positions": [[0.0000, 0.0000, 0.0000], [0.0000, 0.5000, 0.0000], [0.0000, 0.0000, 0.5000], [0.5000, 0.0000, 0.0000], [0.5000, 0.5000, 0.5000]], "space_group": "Pm-3m (221)", "de_polymorph_mev_per_atom": 0, "raw_formation_energy_mev_per_atom": 826.8, "magmom_total_mub_per_fu": 0.00}

Entry 10:
{"formula": "SiTcMo2", "functional": "GGA-PBE", "state": "relaxed", "cell": [[8.8128, 0.0056, 0.0033], [8.3595, 2.7900, 0.0033], [8.3595, 1.3609, 2.4356]], "species": ["Si", "Mo", "Mo", "Tc"], "fractional_positions": [[0.4970, 0.4970, 0.4970], [0.0035, 0.0035, 0.0035], [0.2455, 0.2455, 0.2455], [0.7539, 0.7539, 0.7539]], "space_group": "R3m (160)", "raw_formation_energy_mev_per_atom": 53.2, "magmom_total_mub_per_fu": 0.00}

Entry 11:
{"formula": "SiTcMo2", "functional": "GGA-PBE", "state": "relaxed", "cell": [[2.8456, 0.0000, 0.0000], [0.0000, 4.1066, 0.0000], [0.0000, 0.0000, 5.1025]], "species": ["Mo", "Mo", "Si", "Tc"], "fractional_positions": [[0.0000, 0.0000, 0.9963], [0.5000, 0.5000, 0.2669], [0.0000, 0.0000, 0.5015], [0.5000, 0.5000, 0.7353]], "space_group": "Pmm2 (25)", "raw_formation_energy_mev_per_atom": -66.9, "magmom_total_mub_per_fu": 0.00}

Entry 12:
{"formula": "SiTcMo2", "functional": "GGA-PBE", "state": "relaxed", "cell": [[4.3382, 0.0000, 0.0000], [0.0000, 2.8153, -0.0110], [0.0000, 1.2016, 4.8708]], "species": ["Mo", "Mo", "Si", "Tc"], "fractional_positions": [[0.0000, 0.0102, 0.9816], [0.5000, 0.1802, 0.2664], [0.0000, 0.6252, 0.4990], [0.5000, 0.6844, 0.7530]], "space_group": "Pm (6)", "raw_formation_energy_mev_per_atom": -90.0, "magmom_total_mub_per_fu": 0.00}

> Which formula does entry 9 have?

SiTc3Mo

> Number 3 is which compound?

TbSi2Mo4